First-principles (PBE-GGA) data for a relaxed structure of BaYPd2, as listed in Alexandria.

a b c (Å): 3.6603 3.6603 7.6208
angles (deg): 90.00 90.00 90.00
Fractional positions:
Ba1 0.0000 0.0000 0.0000
Y1 0.0000 0.0000 0.5000
Pd1 0.5000 0.5000 0.3024
Pd2 0.5000 0.5000 0.6976

First-principles (PBE-GGA) data for a relaxed structure of PmMg2Pb, as listed in Alexandria.

a b c (Å): 7.5304 7.5304 7.5304
angles (deg): 90.00 90.00 90.00
Fractional positions:
Pm1 0.0000 0.0000 0.0000
Pm2 0.0000 0.5000 0.5000
Pm3 0.5000 0.0000 0.5000
Pm4 0.5000 0.5000 0.0000
Mg1 0.2500 0.2500 0.2500
Mg2 0.2500 0.2500 0.7500
Mg3 0.2500 0.7500 0.2500
Mg4 0.2500 0.7500 0.7500
Mg5 0.7500 0.2500 0.2500
Mg6 0.7500 0.2500 0.7500
Mg7 0.7500 0.7500 0.2500
Mg8 0.7500 0.7500 0.7500
Pb1 0.0000 0.0000 0.5000
Pb2 0.0000 0.5000 0.0000
Pb3 0.5000 0.0000 0.0000
Pb4 0.5000 0.5000 0.5000

First-principles (PBE-GGA) data for a relaxed structure of Ca2TcOs, as listed in Alexandria.

a b c (Å): 8.0829 8.0829 5.2946
angles (deg): 90.00 90.00 90.00
Fractional positions:
Ca1 0.2302 0.2500 0.1250
Ca2 0.2500 0.7302 0.3750
Ca3 0.2500 0.7698 0.8750
Ca4 0.2698 0.2500 0.6250
Ca5 0.7302 0.7500 0.6250
Ca6 0.7500 0.2302 0.8750
Ca7 0.7500 0.2698 0.3750
Ca8 0.7698 0.7500 0.1250
Tc1 0.0000 0.0000 0.5000
Tc2 0.0000 0.5000 0.7500
Tc3 0.5000 0.0000 0.2500
Tc4 0.5000 0.5000 0.0000
Os1 0.0000 0.0000 0.0000
Os2 0.0000 0.5000 0.2500
Os3 0.5000 0.0000 0.7500
Os4 0.5000 0.5000 0.5000

First-principles (PBE-GGA) data for a relaxed structure of CoCuBr2, as listed in Alexandria.

a b c (Å): 3.5381 7.0613 7.3425
angles (deg): 90.00 90.00 90.00
Fractional positions:
Co1 0.0000 0.0000 0.0000
Co2 0.5000 0.5000 0.5000
Cu1 0.0000 0.0000 0.5000
Cu2 0.5000 0.5000 0.0000
Br1 0.0000 0.5000 0.2508
Br2 0.0000 0.5000 0.7492
Br3 0.5000 0.0000 0.2492
Br4 0.5000 0.0000 0.7508

Output
Formation energy (no corrections)   0.313 eV per atom

What energy above the most stable polymorph in this dataset values result from the calculations? In sequence: 0 274 847 345 meV/atom.
What E_tot values result from the calculations? In sequence: -5.38 -2.97 -5.29 -3.32 eV/atom.